Compound: Ac3Pm2Hg3
Source: the Alexandria database
Functional: PBE
Structure: relaxed

## Properties
Uncorrected energy = -51.1 eV per cell
Energy of formation = -0.35 eV per atom
Magnetization = 0.00 μB/f.u.

Lattice parameters (Å, degrees): 3.9735 5.7398 23.5300 90.00 90.00 90.00
Closest atoms and distances in Å follow each position.
Space group Immm (No. 71)
Symmetry-distinct sites (fractional):
Ac 0.0000 0.0000 0.0000 (multiplicity 2)  8 Hg 3.49-3.58
Ac 0.0000 0.5000 0.1222 (multiplicity 4)  6 Hg 3.49-3.50, 2 Pm 3.89
Pm 0.0000 0.0000 0.2337 (multiplicity 4)  2 Hg 3.21, 4 Pm 3.57
Hg 0.0000 0.0000 0.5000 (multiplicity 2)  8 Ac 3.49-3.50
Hg 0.0000 0.5000 0.3736 (multiplicity 4)  2 Pm 3.21, 6 Ac 3.49-3.58

=====

Compound: YIn3Rh2
Source: the Alexandria database
Functional: PBE
Structure: relaxed

## Properties
Uncorrected energy = -193.4 eV per cell
Energy above the most stable polymorph in this dataset = 0.0000 eV per atom
Energy of formation = -0.48 eV per atom
Magnetization = 0.00 μB/f.u.

Lattice parameters (Å, degrees): 14.7976 4.5628 12.4457 90.00 113.93 90.00
Closest atoms and distances in Å follow each position.
Space group C2/m (No. 12)
Symmetry-distinct sites (fractional):
Y 0.0000 0.0000 0.0000 (multiplicity 2)  2 Rh 2.77
Y 0.1496 0.0000 0.7865 (multiplicity 4)  4 Rh 2.85-3.05
In 0.0000 0.5000 0.5000 (multiplicity 2)  2 Rh 2.65
In 0.0920 0.0000 0.3922 (multiplicity 4)  5 Rh 2.83-2.86, 1 In 3.05
In 0.1201 0.5000 0.1916 (multiplicity 4)  4 Rh 2.66-2.96
In 0.1464 0.5000 0.9657 (multiplicity 4)  4 Rh 2.74-2.82, 1 In 2.99
In 0.2183 0.5000 0.6494 (multiplicity 4)  4 Rh 2.73-2.79, 2 In 3.00-3.05
Rh 0.0238 0.5000 0.7230 (multiplicity 4)  5 In 2.65-2.86, 2 Y 2.85
Rh 0.2041 0.0000 0.1110 (multiplicity 4)  6 In 2.73-2.96, 3 Y 2.77-3.05
Rh 0.2160 0.5000 0.4243 (multiplicity 4)  7 In 2.66-2.85, 2 Rh 2.87

=====

Compound: MgCu2Br
Source: the Alexandria database
Functional: PBE
Structure: relaxed

## Properties
Uncorrected energy = -11.5 eV per cell
Energy above the most stable polymorph in this dataset = 0.1186 eV per atom
Formation energy (no corrections) = -0.022 eV per atom
Magnetization = 0.00 μB/f.u.

Lattice parameters (Å, degrees): 3.5990 3.5120 6.1947 90.00 90.12 90.00
Closest atoms and distances in Å follow each position.
Space group P2/m (No. 10)
Symmetry-distinct sites (fractional):
Mg 0.0000 0.0000 0.0000 (multiplicity 1)  8 Cu 2.77
Cu 0.5003 0.5000 0.1884 (multiplicity 2)  1 Cu 2.33, 2 Br 2.61
Br 0.5000 0.0000 0.5000 (multiplicity 1)  4 Cu 2.61